(1)
Compound: Ag2TeRu
Source: Alexandria
Functional: PBE
Structure: relaxed

Lattice parameters (Å, degrees): 7.8516 7.8516 6.1564 50.38 50.38 90.00
Fractional positions:
Ru  0.5000  0.5000  0.0000
Ru  0.2500  0.7500  0.5000
Te  0.0000  0.0000  0.0000
Te  0.7500  0.2500  0.5000
Ag  0.6155  0.1250  0.2500
Ag  0.1345  0.6250  0.2500
Ag  0.3750  0.3845  0.7500
Ag  0.8750  0.8655  0.7500

Results
Space group = I-42d
Crystal system = tetragonal

=====

(2)
Compound: Al2CdSe
Source: Alexandria
Functional: PBE
Structure: relaxed

Lattice parameters (Å, degrees): 7.9553 7.9553 7.9553 26.21 26.21 26.21
Fractional positions:
Al  0.0066  0.0066  0.0066
Al  0.2552  0.2552  0.2552
Se  0.7351  0.7351  0.7351
Cd  0.5032  0.5032  0.5032

Results
Space group = R3m
Crystal system = trigonal
Offset from the most stable computed form = 0.0000 eV per atom

=====

Number 1: uncorrected formation energy 0.582 eV per atom. Number 2: uncorrected formation energy -0.131 eV per atom.